Material: Nb2BiO4
Method: DFT, PBE
State: relaxed

Unit cell a=6.626 b=6.626 c=6.626 alpha=120.00 beta=90.01 gamma=120.00
Fractional coordinates of all 14 atoms:
O 0.598 0.197 0.401
Nb 0.375 0.750 0.625
Bi 0.750 0.500 0.250
O 0.599 0.197 0.796
O 0.152 0.303 0.849
O 0.151 0.303 0.454
O 0.151 0.697 0.848
Nb 0.375 0.250 0.625
Bi 0.000 0.000 0.000
Nb 0.375 0.750 0.125
O 0.599 0.803 0.402
O 0.546 0.697 0.849
O 0.204 0.803 0.401
Nb 0.875 0.250 0.625

Summary:
Its final energy is -7.7356 eV per atom. The calculation puts the mass density at 7406 kg/m3. The value obtained for the volume is 14.7 Å³/atom. Its crystal system is cubic.

Material: NbBiO4
Method: DFT, PBE
State: relaxed

Unit cell a=7.774 b=7.774 c=5.599 alpha=90.00 beta=90.00 gamma=150.62
Fractional coordinates of all 12 atoms:
Bi 0.311 0.689 0.208
O 0.201 0.799 0.477
Nb 0.082 0.918 0.249
O 0.827 0.173 0.497
O 0.407 0.593 0.784
Nb 0.918 0.082 0.749
O 0.593 0.407 0.284
O 0.173 0.827 0.997
O 0.974 0.026 0.084
O 0.026 0.974 0.584
Bi 0.689 0.311 0.708
O 0.799 0.201 0.977

Summary:
Its final energy is -7.6859 eV per atom. The calculation puts the mass density at 7320 kg/m3. The value obtained for the volume is 13.8 Å³/atom. Its crystal system is orthorhombic.

Material: Nb2BiO6
Method: DFT, PBE
State: relaxed

Unit cell a=5.306 b=5.306 c=5.306 alpha=59.99 beta=59.99 gamma=59.99
Last column: magnetic moment on the atom in μB.
Fractional coordinates of all 9 atoms:
O 0.731 0.731 0.269  -0.04
Nb 0.250 0.250 0.250  1.49
O 0.269 0.731 0.731  -0.07
O 0.731 0.269 0.731  -0.09
Bi 0.000 0.000 0.000  0.01
O 0.731 0.269 0.269  -0.07
O 0.269 0.269 0.731  -0.04
O 0.269 0.731 0.269  -0.09
Nb 0.750 0.750 0.750  1.49

Summary:
Its final energy is -6.2099 eV per atom. The calculation puts the mass density at 7715 kg/m3. The value obtained for the volume is 11.7 Å³/atom. Its crystal system is cubic.